The following is a DFT calculation (GGA-PBE) of crystalline RbTl6Cd3 at its relaxed geometry.

Symmetry ... P2_1/m (11)
Uncorrected energy ... -0.1295 Ry per atom
Crystal system ... monoclinic
DOS at the Fermi energy ... 4.3 states/eV/f.u.

a = 4.1632 Å, b = 11.5146 Å, c = 13.7434 Å
α = 102.91°, β = 90.00°, γ = 90.00°
Positions (direct):
Tl1 0.2500 0.5530 0.4000
Cd1 0.7500 0.3827 0.8161
Tl2 0.2500 0.2383 0.6603
Cd2 0.7500 0.1007 0.0482
Tl3 0.7500 0.7617 0.3397
Rb1 0.7500 0.0109 0.7552
Cd3 0.2500 0.8993 0.9518
Tl4 0.7500 0.4310 0.0782
Cd4 0.2500 0.2990 0.4343
Tl5 0.2500 0.2907 0.2025
Tl6 0.7500 0.1055 0.4773
Tl7 0.2500 0.5690 0.9218
Tl8 0.7500 0.4470 0.6000
Cd5 0.2500 0.6173 0.1839
Tl9 0.7500 0.7584 0.0705
Tl10 0.2500 0.2416 0.9295
Tl11 0.7500 0.7093 0.7975
Cd6 0.7500 0.7010 0.5657
Rb2 0.2500 0.9891 0.2448
Tl12 0.2500 0.8945 0.5227

The following is a DFT calculation (GGA-PBE) of crystalline RbTl9Cd3 at its relaxed geometry.

Symmetry ... C2/m (12)
Uncorrected energy ... -0.1423 Ry per atom
Crystal system ... monoclinic
DOS at the Fermi energy ... 7.4 states/eV/f.u.

a = 6.2027 Å, b = 8.5952 Å, c = 8.6669 Å
α = 82.65°, β = 69.03°, γ = 69.06°
Positions (direct):
Rb1 0.0000 0.0000 0.0000
Cd1 0.5000 0.5000 0.0000
Tl1 0.0047 0.3539 0.6401
Tl2 0.6448 0.3539 0.3599
Tl3 0.2951 0.2108 0.2168
Cd2 0.5000 0.0000 0.5000
Tl4 0.7049 0.7892 0.7832
Tl5 0.0000 0.5000 0.0000
Tl6 0.4880 0.7892 0.2168
Tl7 0.5120 0.2108 0.7832
Cd3 0.0000 0.0000 0.5000
Tl8 0.3552 0.6461 0.6401
Tl9 0.9953 0.6461 0.3599

The following is a DFT calculation (GGA-PBE) of crystalline RbTlCd5 at its relaxed geometry.

Symmetry ... Pnma (62)
Uncorrected energy ... -0.0863 Ry per atom
Crystal system ... orthorhombic
DOS at the Fermi energy ... 2.3 states/eV/f.u.

a = 6.4265 Å, b = 9.8299 Å, c = 12.4908 Å
α = 90.00°, β = 90.00°, γ = 90.00°
Positions (direct):
Cd1 0.7500 0.4092 0.9760
Cd2 0.7500 0.8208 0.7563
Cd3 0.4889 0.0753 0.6827
Cd4 0.7500 0.0736 0.8967
Cd5 0.2500 0.1792 0.2437
Cd6 0.2500 0.6792 0.2563
Cd7 0.7500 0.3208 0.7437
Cd8 0.2500 0.0908 0.4760
Cd9 0.5111 0.9247 0.3173
Cd10 0.0111 0.5753 0.8173
Cd11 0.7500 0.9092 0.5240
Rb1 0.7500 0.2586 0.4365
Cd12 0.4889 0.5753 0.8173
Cd13 0.5111 0.4247 0.1827
Tl1 0.7500 0.6265 0.3602
Cd14 0.2500 0.4264 0.3967
Tl2 0.2500 0.3735 0.6398
Cd15 0.9889 0.9247 0.3173
Cd16 0.2500 0.9264 0.1033
Tl3 0.2500 0.8735 0.8602
Cd17 0.7500 0.5736 0.6033
Cd18 0.0111 0.0753 0.6827
Tl4 0.7500 0.1265 0.1398
Rb2 0.7500 0.7586 0.0635
Cd19 0.2500 0.5908 0.0240
Cd20 0.9889 0.4247 0.1827
Rb3 0.2500 0.2414 0.9365
Rb4 0.2500 0.7414 0.5635

The following is a DFT calculation (GGA-PBE) of crystalline Rb6TlCd at its relaxed geometry.

Symmetry ... Amm2 (38)
Uncorrected energy ... -0.0841 Ry per atom
Crystal system ... orthorhombic
DOS at the Fermi energy ... 6.0 states/eV/f.u.

a = 5.1174 Å, b = 10.5739 Å, c = 10.5737 Å
α = 94.94°, β = 90.00°, γ = 90.00°
Positions (direct):
Rb1 0.5000 0.3462 0.0970
Tl1 0.0000 0.1512 0.8488
Cd1 0.5000 0.2517 0.7483
Rb2 0.0000 0.6676 0.3323
Rb3 0.5000 0.9030 0.6538
Rb4 0.5000 0.9377 0.0623
Rb5 0.0000 0.5333 0.7908
Rb6 0.0000 0.2092 0.4667

The following is a DFT calculation (GGA-PBE) of crystalline Rb2TlCd at its relaxed geometry.

Symmetry ... I-42d (122)
Crystal system ... tetragonal
ΔE to the lowest computed polymorph ... 192 meV per atom
DOS at the Fermi energy ... 3.4 states/eV/f.u.

a = 10.2345 Å, b = 10.2345 Å, c = 8.0909 Å
α = 50.77°, β = 50.77°, γ = 90.00°
Positions (direct):
Rb1 0.8750 0.8662 0.7500
Cd1 0.2500 0.7500 0.5000
Rb2 0.6162 0.1250 0.2500
Tl1 0.7500 0.2500 0.5000
Rb3 0.3750 0.3839 0.7500
Cd2 0.5000 0.5000 0.0000
Tl2 0.0000 0.0000 0.0000
Rb4 0.1338 0.6250 0.2500

The following is a DFT calculation (GGA-PBE) of crystalline RbTl10Cd3 at its relaxed geometry.

Symmetry ... Fm-3m (225)
Uncorrected energy ... -0.1381 Ry per atom
Crystal system ... cubic
DOS at the Fermi energy ... 7.0 states/eV/f.u.

a = 10.9700 Å, b = 10.9700 Å, c = 10.9700 Å
α = 60.00°, β = 60.00°, γ = 60.00°
Positions (direct):
Tl1 0.6166 0.1501 0.6166
Cd1 0.7330 0.2670 0.7330
Tl2 0.0000 0.6514 0.0000
Tl3 0.3486 0.0000 0.0000
Rb1 0.2500 0.2500 0.2500
Cd2 0.2670 0.7330 0.7330
Cd3 0.2670 0.2670 0.7330
Tl4 0.6514 0.0000 0.0000
Tl5 0.6514 0.3486 0.0000
Cd4 0.7330 0.7330 0.2670
Tl6 0.3834 0.3834 0.3834
Rb2 0.7500 0.7500 0.7500
Tl7 0.0000 0.6514 0.3486
Tl8 0.3486 0.0000 0.6514
Cd5 0.7330 0.2670 0.2670
Tl9 0.3834 0.8499 0.3834
Tl10 0.1501 0.6166 0.6166
Tl11 0.6514 0.0000 0.3486
Tl12 0.3834 0.3834 0.8499
Cd6 0.2670 0.7330 0.2670
Tl13 0.0000 0.3486 0.0000
Tl14 0.8499 0.3834 0.3834
Tl15 0.0000 0.3486 0.6514
Tl16 0.3486 0.6514 0.0000
Tl17 0.6166 0.6166 0.1501
Tl18 0.0000 0.0000 0.6514
Tl19 0.6166 0.6166 0.6166
Tl20 0.0000 0.0000 0.3486